DFT (PBE) results for a relaxed PmPr4Nd2Mg crystal.

Output
crystal system: orthorhombic
VASP energy: -4.372 eV per atom
M_tot: 0.000 μB per cell

abc: 5.125 5.138 10.350
angles: 90.00 90.00 90.00
Space group Pmmm (No. 47)
One atom of each set of equivalent atoms:
Pm: 0.000 0.000 0.000
Pr: 0.000 0.500 0.255
Pr: 0.500 0.000 0.254
Nd: 0.000 0.000 0.500
Nd: 0.500 0.500 0.000
Mg: 0.500 0.500 0.500